[1]
The following is a DFT calculation (PBE) of a geometry-optimized NiAgBi structure.

abc: 4.329 4.329 6.387
angles: 90.00 90.00 90.00
Sites, in units of the cell vectors:
1 Ni 0.250 0.750 0.000
2 Ni 0.750 0.250 0.000
3 Ag 0.250 0.250 0.259
4 Ag 0.750 0.750 0.741
5 Bi 0.250 0.250 0.730
6 Bi 0.750 0.750 0.270

Summary:
energy of formation from the pure elements	0.3	eV per formula unit
Fermi-level density of states	5.17	states/eV per cell
relative energy among the computed polymorphs	0.0000	eV per atom

***

[2]
The following is a DFT calculation (PBE) of a geometry-optimized Ni2Ag2Bi structure.

abc: 8.883 8.883 8.883
angles: 158.46 158.46 30.65
Sites, in units of the cell vectors:
1 Ni 0.250 0.750 0.500
2 Ni 0.750 0.250 0.500
3 Ag 0.126 0.126 0.000
4 Ag 0.874 0.874 0.000
5 Bi 0.500 0.500 0.000

Summary:
energy of formation from the pure elements	1.9	eV per formula unit
Fermi-level density of states	7.33	states/eV per cell
relative energy among the computed polymorphs	0.1473	eV per atom

***

[3]
The following is a DFT calculation (PBE) of a geometry-optimized PmNiAgBi structure.

abc: 4.977 4.977 4.977
angles: 60.00 60.00 60.00
Sites, in units of the cell vectors:
1 Pm 0.000 0.000 0.000
2 Ni 0.250 0.250 0.250
3 Ag 0.750 0.750 0.750
4 Bi 0.500 0.500 0.500

Summary:
energy of formation from the pure elements	-0.9	eV per formula unit
Fermi-level density of states	2.33	states/eV per cell

***

[4]
The following is a DFT calculation (PBE) of a geometry-optimized RbNiAg2Bi structure.

abc: 5.597 5.597 4.722
angles: 90.00 90.00 90.00
Sites, in units of the cell vectors:
1 Rb 0.000 0.000 0.000
2 Ni 0.000 0.000 0.500
3 Ag 0.000 0.500 0.000
4 Ag 0.500 0.000 0.000
5 Bi 0.500 0.500 0.500

Summary:
energy of formation from the pure elements	7.1	eV per formula unit
Fermi-level density of states	3.92	states/eV per cell

***

[5]
The following is a DFT calculation (PBE) of a geometry-optimized TaNiAgBi2 structure.

abc: 5.476 5.476 4.697
angles: 90.00 90.00 90.00
Sites, in units of the cell vectors:
1 Ta 0.000 0.000 0.000
2 Ni 0.000 0.000 0.500
3 Ag 0.500 0.500 0.500
4 Bi 0.000 0.500 0.000
5 Bi 0.500 0.000 0.000

Summary:
energy of formation from the pure elements	4.6	eV per formula unit
Fermi-level density of states	4.65	states/eV per cell

***

[6]
The following is a DFT calculation (PBE) of a geometry-optimized Ta2NiAgBi structure.

abc: 4.654 4.654 4.856
angles: 90.00 90.00 90.00
Sites, in units of the cell vectors:
1 Ta 0.000 0.500 0.000
2 Ta 0.500 0.000 0.000
3 Ni 0.000 0.000 0.000
4 Ag 0.000 0.000 0.500
5 Bi 0.500 0.500 0.500

Summary:
energy of formation from the pure elements	4.0	eV per formula unit
Fermi-level density of states	4.69	states/eV per cell

***

[7]
The following is a DFT calculation (PBE) of a geometry-optimized NpAg4Bi structure.

abc: 5.721 5.721 5.721
angles: 60.00 60.00 60.00
Sites, in units of the cell vectors:
1 Np 0.000 0.000 0.000
2 Ag 0.374 0.374 0.374
3 Ag 0.374 0.374 0.877
4 Ag 0.374 0.877 0.374
5 Ag 0.877 0.374 0.374
6 Bi 0.750 0.750 0.750

Summary:
energy of formation from the pure elements	0.8	eV per formula unit
Fermi-level density of states	14.89	states/eV per cell

***

[8]
The following is a DFT calculation (PBE) of a geometry-optimized Np4Ag3Bi8 structure.

abc: 4.570 4.570 19.975
angles: 90.00 90.00 90.00
Sites, in units of the cell vectors:
1 Np 0.000 0.500 0.117
2 Np 0.000 0.500 0.627
3 Np 0.500 0.000 0.373
4 Np 0.500 0.000 0.883
5 Ag 0.000 0.000 0.000
6 Ag 0.000 0.000 0.500
7 Ag 0.500 0.500 0.500
8 Bi 0.000 0.000 0.244
9 Bi 0.000 0.000 0.756
10 Bi 0.000 0.500 0.400
11 Bi 0.000 0.500 0.912
12 Bi 0.500 0.000 0.088
13 Bi 0.500 0.000 0.600
14 Bi 0.500 0.500 0.245
15 Bi 0.500 0.500 0.755

Summary:
energy of formation from the pure elements	0.0	eV per formula unit
Fermi-level density of states	47.13	states/eV per cell

***

[9]
The following is a DFT calculation (PBE) of a geometry-optimized NpAg2Bi structure.

abc: 4.500 4.500 4.810
angles: 90.00 90.00 90.00
Sites, in units of the cell vectors:
1 Np 0.000 0.000 0.000
2 Ag 0.000 0.500 0.500
3 Ag 0.500 0.000 0.500
4 Bi 0.500 0.500 0.000

Summary:
energy of formation from the pure elements	0.9	eV per formula unit
Fermi-level density of states	13.47	states/eV per cell

***

[10]
The following is a DFT calculation (PBE) of a geometry-optimized NpAgBi2O6 structure.

abc: 5.963 5.963 6.206
angles: 62.34 63.81 62.99
Sites, in units of the cell vectors:
1 Np 0.000 0.000 0.000
2 Ag 0.489 0.449 0.605
3 Bi 0.242 0.171 0.374
4 Bi 0.689 0.692 0.924
5 O 0.082 0.347 0.769
6 O 0.301 0.884 0.199
7 O 0.364 0.833 0.711
8 O 0.633 0.246 0.198
9 O 0.823 0.066 0.725
10 O 0.907 0.654 0.185

Summary:
Fermi-level density of states	5.58	states/eV per cell
ΔE_f (raw)	-1.58	eV per atom

***

[11]
The following is a DFT calculation (PBE) of a geometry-optimized NpAgBi2O8 structure.

abc: 4.977 5.174 7.326
angles: 85.96 88.30 86.18
Sites, in units of the cell vectors:
1 Np 0.000 0.000 0.000
2 Ag 0.000 0.000 0.500
3 Bi 0.449 0.471 0.263
4 Bi 0.551 0.529 0.737
5 O 0.151 0.256 0.839
6 O 0.167 0.149 0.258
7 O 0.300 0.702 0.511
8 O 0.323 0.759 0.971
9 O 0.677 0.241 0.029
10 O 0.700 0.298 0.489
11 O 0.833 0.851 0.742
12 O 0.849 0.744 0.161

Summary:
Fermi-level density of states	1.28	states/eV per cell
ΔE_f (raw)	-1.44	eV per atom

***

[12]
The following is a DFT calculation (PBE) of a geometry-optimized NpAgBiO6 structure.

abc: 5.602 5.602 10.012
angles: 90.00 90.00 120.00
Sites, in units of the cell vectors:
1 Np 0.333 0.667 0.250
2 Np 0.667 0.333 0.750
3 Ag 0.333 0.667 0.750
4 Ag 0.667 0.333 0.250
5 Bi 0.000 0.000 0.000
6 Bi 0.000 0.000 0.500
7 O 0.040 0.362 0.134
8 O 0.040 0.678 0.366
9 O 0.322 0.362 0.366
10 O 0.322 0.960 0.134
11 O 0.362 0.040 0.634
12 O 0.362 0.322 0.866
13 O 0.638 0.678 0.134
14 O 0.638 0.960 0.366
15 O 0.678 0.040 0.866
16 O 0.678 0.638 0.634
17 O 0.960 0.322 0.634
18 O 0.960 0.638 0.866

Summary:
Fermi-level density of states	12.98	states/eV per cell
ΔE_f (raw)	-1.56	eV per atom

***

[13]
The following is a DFT calculation (PBE) of a geometry-optimized NpAgBiPd structure.

abc: 5.029 5.029 5.029
angles: 60.00 60.00 60.00
Sites, in units of the cell vectors:
1 Np 0.000 0.000 0.000
2 Ag 0.250 0.250 0.250
3 Bi 0.500 0.500 0.500
4 Pd 0.750 0.750 0.750

Summary:
energy of formation from the pure elements	-0.1	eV per formula unit
Fermi-level density of states	9.04	states/eV per cell

***

[14]
The following is a DFT calculation (PBE) of a geometry-optimized NpAg2Bi2S6 structure.

abc: 7.118 7.118 6.575
angles: 95.69 95.69 120.27
Sites, in units of the cell vectors:
1 Np 0.000 0.000 0.000
2 Ag 0.120 0.880 0.500
3 Ag 0.880 0.120 0.500
4 Bi 0.330 0.670 0.000
5 Bi 0.670 0.330 0.000
6 S 0.037 0.365 0.230
7 S 0.268 0.268 0.765
8 S 0.365 0.037 0.230
9 S 0.635 0.963 0.770
10 S 0.732 0.732 0.235
11 S 0.963 0.635 0.770

Summary:
Fermi-level density of states	6.17	states/eV per cell
ΔE_f (raw)	-0.51	eV per atom

***

[15]
The following is a DFT calculation (PBE) of a geometry-optimized NpAg3Bi3S8 structure.

abc: 7.791 7.791 7.791
angles: 62.97 62.97 62.97
Sites, in units of the cell vectors:
1 Np 0.000 0.000 0.000
2 Ag 0.000 0.000 0.500
3 Ag 0.000 0.500 0.000
4 Ag 0.500 0.000 0.000
5 Bi 0.000 0.500 0.500
6 Bi 0.500 0.000 0.500
7 Bi 0.500 0.500 0.000
8 S 0.238 0.759 0.759
9 S 0.241 0.241 0.762
10 S 0.241 0.762 0.241
11 S 0.247 0.247 0.247
12 S 0.753 0.753 0.753
13 S 0.759 0.238 0.759
14 S 0.759 0.759 0.238
15 S 0.762 0.241 0.241

Summary:
Fermi-level density of states	6.33	states/eV per cell
ΔE_f (raw)	-0.43	eV per atom

***

[16]
The following is a DFT calculation (PBE) of a geometry-optimized NpAgBi2S5 structure.

abc: 8.614 8.614 13.415
angles: 90.00 90.00 152.82
Sites, in units of the cell vectors:
1 Np 0.218 0.782 0.500
2 Np 0.782 0.218 0.000
3 Ag 0.428 0.572 0.893
4 Ag 0.572 0.428 0.393
5 Bi 0.078 0.922 0.114
6 Bi 0.134 0.866 0.735
7 Bi 0.866 0.134 0.235
8 Bi 0.922 0.078 0.614
9 S 0.060 0.940 0.513
10 S 0.269 0.731 0.140
11 S 0.274 0.726 0.867
12 S 0.381 0.619 0.489
13 S 0.488 0.512 0.237
14 S 0.512 0.488 0.737
15 S 0.619 0.381 0.989
16 S 0.726 0.274 0.367
17 S 0.731 0.269 0.640
18 S 0.940 0.060 0.013

Summary:
Fermi-level density of states	18.78	states/eV per cell
ΔE_f (raw)	-0.52	eV per atom

***

[17]
The following is a DFT calculation (PBE) of a geometry-optimized AgBiO3 structure.

abc: 4.057 4.057 4.057
angles: 90.00 90.00 90.00
Sites, in units of the cell vectors:
1 Ag 0.000 0.000 0.000
2 Bi 0.500 0.500 0.500
3 O 0.000 0.000 0.500
4 O 0.000 0.500 0.000
5 O 0.500 0.000 0.000

Summary:
Fermi-level density of states	0.91	states/eV per cell
ΔE_f (raw)	-0.16	eV per atom

***

[18]
The following is a DFT calculation (PBE) of a geometry-optimized Ag5BiO4 structure.

abc: 6.017 8.986 14.150
angles: 90.00 114.53 90.00
Sites, in units of the cell vectors:
1 Ag 0.000 0.000 0.000
2 Ag 0.000 0.500 0.500
3 Ag 0.114 0.232 0.371
4 Ag 0.114 0.268 0.871
5 Ag 0.126 0.139 0.654
6 Ag 0.126 0.361 0.154
7 Ag 0.217 0.507 0.746
8 Ag 0.217 0.993 0.246
9 Ag 0.380 0.730 0.128
10 Ag 0.380 0.770 0.628
11 Ag 0.500 0.000 0.500
12 Ag 0.500 0.500 0.000
13 Ag 0.620 0.230 0.372
14 Ag 0.620 0.270 0.872
15 Ag 0.783 0.007 0.754
16 Ag 0.783 0.493 0.254
17 Ag 0.874 0.639 0.846
18 Ag 0.874 0.861 0.346
19 Ag 0.886 0.732 0.129
20 Ag 0.886 0.768 0.629
21 Bi 0.406 0.622 0.380
22 Bi 0.406 0.878 0.880
23 Bi 0.594 0.122 0.120
24 Bi 0.594 0.378 0.620
25 O 0.041 0.635 0.380
26 O 0.041 0.865 0.880
27 O 0.202 0.596 0.200
28 O 0.202 0.904 0.700
29 O 0.433 0.137 0.939
30 O 0.433 0.363 0.439
31 O 0.470 0.636 0.873
32 O 0.470 0.864 0.373
33 O 0.530 0.136 0.627
34 O 0.530 0.364 0.127
35 O 0.567 0.637 0.561
36 O 0.567 0.863 0.061
37 O 0.798 0.096 0.300
38 O 0.798 0.404 0.800
39 O 0.959 0.135 0.120
40 O 0.959 0.365 0.620

Summary:
Fermi-level density of states	0.00	states/eV per cell
ΔE_f (raw)	-0.37	eV per atom
relative energy among the computed polymorphs	0.0000	eV per atom

***

[19]
The following is a DFT calculation (PBE) of a geometry-optimized AgBiO3 structure.

abc: 6.289 6.289 6.289
angles: 54.66 54.66 54.66
Sites, in units of the cell vectors:
1 Ag 0.133 0.133 0.133
2 Ag 0.867 0.867 0.867
3 Bi 0.343 0.343 0.343
4 Bi 0.657 0.657 0.657
5 O 0.058 0.709 0.460
6 O 0.291 0.540 0.942
7 O 0.460 0.058 0.709
8 O 0.540 0.942 0.291
9 O 0.709 0.460 0.058
10 O 0.942 0.291 0.540

Summary:
Fermi-level density of states	8.74	states/eV per cell
ΔE_f (raw)	-0.58	eV per atom

***

[20]
The following is a DFT calculation (PBE) of a geometry-optimized Ag5BiO4 structure.

abc: 7.192 7.192 6.747
angles: 98.92 98.92 27.99
Sites, in units of the cell vectors:
1 Ag 0.000 0.000 0.000
2 Ag 0.308 0.308 0.685
3 Ag 0.322 0.322 0.106
4 Ag 0.678 0.678 0.894
5 Ag 0.692 0.692 0.315
6 Bi 0.000 0.000 0.500
7 O 0.154 0.154 0.666
8 O 0.464 0.464 0.725
9 O 0.536 0.536 0.275
10 O 0.846 0.846 0.334

Summary:
Fermi-level density of states	2.24	states/eV per cell
ΔE_f (raw)	-0.27	eV per atom
relative energy among the computed polymorphs	0.1019	eV per atom

***

[21]
The following is a DFT calculation (PBE) of a geometry-optimized Ag2BiO structure.

abc: 5.981 5.981 5.981
angles: 100.48 100.48 129.50
Sites, in units of the cell vectors:
1 Ag 0.054 0.625 0.929
2 Ag 0.375 0.304 0.429
3 Ag 0.696 0.125 0.071
4 Ag 0.875 0.946 0.571
5 Bi 0.250 0.750 0.500
6 Bi 0.500 0.500 0.000
7 O 0.000 0.000 0.000
8 O 0.750 0.250 0.500

Summary:
Fermi-level density of states	4.19	states/eV per cell
ΔE_f (raw)	-0.03	eV per atom
relative energy among the computed polymorphs	0.0000	eV per atom